(1)
Computed, not measured: crystalline TaCuP2 at its relaxed geometry at the PBE-GGA level of DFT.

Results
ΔH_f (0 K): 39 meV per atom
size of the total moment: 0.00 μB/f.u.
crystal system: tetragonal

CIF file:
```
data_TaCuP2
_space_group_name_H-M_alt 'I 4/m m m'
_space_group_IT_number 139
_space_group_name_Hall '-I 4 2'
_cell_length_a 3.963
_cell_length_b 3.963
_cell_length_c 7.213
_cell_angle_alpha 90.00
_cell_angle_beta 90.00
_cell_angle_gamma 90.00
loop_
_atom_site_label
_atom_site_type_symbol
_atom_site_fract_x
_atom_site_fract_y
_atom_site_fract_z
_atom_site_occupancy
Ta1 Ta 0.000 0.000 0.000 1
Cu1 Cu 0.000 0.000 0.500 1
P1 P 0.000 0.500 0.250 1
```

---

(2)
Computed, not measured: crystalline TaCu2P2 at its relaxed geometry at the PBE-GGA level of DFT.

Results
ΔH_f (0 K): -86 meV per atom
size of the total moment: 0.00 μB/f.u.
crystal system: tetragonal

CIF file:
```
data_TaCu2P2
_space_group_name_H-M_alt 'P 4/m b m'
_space_group_IT_number 127
_space_group_name_Hall '-P 4 2ab'
_cell_length_a 6.568
_cell_length_b 6.568
_cell_length_c 3.273
_cell_angle_alpha 90.00
_cell_angle_beta 90.00
_cell_angle_gamma 90.00
loop_
_atom_site_label
_atom_site_type_symbol
_atom_site_fract_x
_atom_site_fract_y
_atom_site_fract_z
_atom_site_occupancy
Ta1 Ta 0.000 0.000 0.000 1
Cu1 Cu 0.141 0.359 0.500 1
P1 P 0.155 0.655 0.000 1
```

---

(3)
Computed, not measured: crystalline TaCuP2 at its relaxed geometry at the PBE-GGA level of DFT.

Results
ΔH_f (0 K): -207 meV per atom
size of the total moment: 0.00 μB/f.u.
crystal system: monoclinic

CIF file:
```
data_TaCuP2
_space_group_name_H-M_alt 'P 1 2/m 1'
_space_group_IT_number 10
_cell_length_a 3.247
_cell_length_b 3.224
_cell_length_c 5.517
_cell_angle_alpha 90.00
_cell_angle_beta 95.67
_cell_angle_gamma 90.00
loop_
_space_group_symop_operation_xyz
'x,y,z'
'-x,-y,-z'
'-x,y,-z'
'x,-y,z'
loop_
_atom_site_label
_atom_site_type_symbol
_atom_site_fract_x
_atom_site_fract_y
_atom_site_fract_z
_atom_site_occupancy
Ta1 Ta 0.000 0.000 0.000 1
Cu1 Cu 0.000 0.000 0.500 1
P1 P 0.455 0.500 0.757 1
```

---

(4)
Computed, not measured: crystalline TaCuP2 at its relaxed geometry at the PBE-GGA level of DFT.

Results
ΔH_f (0 K): -209 meV per atom
size of the total moment: 0.00 μB/f.u.
crystal system: tetragonal

CIF file:
```
data_TaCuP2
_space_group_name_H-M_alt 'P 4/m m m'
_space_group_IT_number 123
_space_group_name_Hall '-P 4 2'
_cell_length_a 3.244
_cell_length_b 3.244
_cell_length_c 5.453
_cell_angle_alpha 90.00
_cell_angle_beta 90.00
_cell_angle_gamma 90.00
loop_
_atom_site_label
_atom_site_type_symbol
_atom_site_fract_x
_atom_site_fract_y
_atom_site_fract_z
_atom_site_occupancy
Ta1 Ta 0.000 0.000 0.000 1
Cu1 Cu 0.000 0.000 0.500 1
P1 P 0.500 0.500 0.243 1
```

---

(5)
Computed, not measured: crystalline Ta2CuP at its relaxed geometry at the PBE-GGA level of DFT.

Results
ΔH_f (0 K): -104 meV per atom
size of the total moment: 0.00 μB/f.u.
crystal system: trigonal

CIF file:
```
data_Ta2CuP
_space_group_name_H-M_alt 'R -3 m'
_space_group_IT_number 166
_space_group_name_Hall '-R 3 2"'
_cell_length_a 3.5807
_cell_length_b 3.5807
_cell_length_c 17.4593
_cell_angle_alpha 90.00
_cell_angle_beta 90.00
_cell_angle_gamma 120.00
loop_
_atom_site_label
_atom_site_type_symbol
_atom_site_fract_x
_atom_site_fract_y
_atom_site_fract_z
_atom_site_occupancy
Ta1 Ta 0.0000 0.0000 0.2451 1
Cu1 Cu 0.0000 0.0000 0.0000 1
P1 P 0.0000 0.0000 0.5000 1
```

---

(6)
Computed, not measured: crystalline Ta2CuP at its relaxed geometry at the PBE-GGA level of DFT.

Results
ΔH_f (0 K): -168 meV per atom
size of the total moment: 0.00 μB/f.u.
crystal system: orthorhombic

CIF file:
```
data_Ta2CuP
_space_group_name_H-M_alt 'I m m m'
_space_group_IT_number 71
_space_group_name_Hall '-I 2 2'
_cell_length_a 3.623
_cell_length_b 4.581
_cell_length_c 7.398
_cell_angle_alpha 90.00
_cell_angle_beta 90.00
_cell_angle_gamma 90.00
loop_
_atom_site_label
_atom_site_type_symbol
_atom_site_fract_x
_atom_site_fract_y
_atom_site_fract_z
_atom_site_occupancy
Ta1 Ta 0.000 0.000 0.228 1
Cu1 Cu 0.000 0.500 0.000 1
P1 P 0.000 0.500 0.500 1
```

---

(7)
Computed, not measured: crystalline Ta2CuP at its relaxed geometry at the PBE-GGA level of DFT.

Results
ΔH_f (0 K): -138 meV per atom
size of the total moment: 0.00 μB/f.u.
crystal system: orthorhombic

CIF file:
```
data_Ta2CuP
_space_group_name_H-M_alt 'I m m 2'
_space_group_IT_number 44
_cell_length_a 3.132
_cell_length_b 4.400
_cell_length_c 8.765
_cell_angle_alpha 90.00
_cell_angle_beta 90.00
_cell_angle_gamma 90.00
loop_
_space_group_symop_operation_xyz
'x,y,z'
'-x,-y,z'
'-x,y,z'
'x,-y,z'
'x+1/2,y+1/2,z+1/2'
'-x+1/2,-y+1/2,z+1/2'
'-x+1/2,y+1/2,z+1/2'
'x+1/2,-y+1/2,z+1/2'
loop_
_atom_site_label
_atom_site_type_symbol
_atom_site_fract_x
_atom_site_fract_y
_atom_site_fract_z
_atom_site_occupancy
Ta1 Ta 0.000 0.000 0.000 1
Ta2 Ta 0.000 0.500 0.212 1
Cu1 Cu 0.000 0.500 0.772 1
P1 P 0.000 0.000 0.481 1
```

---

(8)
Computed, not measured: crystalline TaCuP at its relaxed geometry at the PBE-GGA level of DFT.

Results
ΔH_f (0 K): -37 meV per atom
size of the total moment: 0.00 μB/f.u.
crystal system: cubic

CIF file:
```
data_TaCuP
_space_group_name_H-M_alt 'F -4 3 m'
_space_group_IT_number 216
_space_group_name_Hall 'F -4 2 3'
_cell_length_a 5.715
_cell_length_b 5.715
_cell_length_c 5.715
_cell_angle_alpha 90.00
_cell_angle_beta 90.00
_cell_angle_gamma 90.00
loop_
_atom_site_label
_atom_site_type_symbol
_atom_site_fract_x
_atom_site_fract_y
_atom_site_fract_z
_atom_site_occupancy
Ta1 Ta 0.000 0.000 0.000 1
Cu1 Cu 0.000 0.000 0.500 1
P1 P 0.250 0.250 0.750 1
```